Record 1
! Ac3Tb2Ho | Alexandria | PBE | optimized geometry; values from VASP
&SYSTEM
  ibrav = 0, nat = 12, ntyp = 3
/
ATOMIC_SPECIES
Ac 227.00 Ac.upf
Tb 158.93 Tb.upf
Ho 164.93 Ho.upf
CELL_PARAMETERS angstrom
7.520 0.000 0.000
-3.760 4.656 -2.686
0.000 1.002 12.473
ATOMIC_POSITIONS crystal
Ac 0.626 0.000 0.250
Ac 0.374 0.000 0.750
Ac 0.709 0.666 0.417
Ac 0.958 0.666 0.917
Ac 0.042 0.334 0.083
Ac 0.291 0.334 0.583
Tb 0.791 0.333 0.584
Tb 0.209 0.667 0.416
Tb 0.458 0.667 0.916
Tb 0.542 0.333 0.084
Ho 0.125 0.000 0.250
Ho 0.875 0.000 0.750
! Density = 8.46 g/cm³
! SG = C2/c (15)
! Formation energy from the elements = 7.7 kJ/mol of atoms

***

Record 2
! PaTl2AuS4 | Alexandria | PBE | optimized geometry; values from VASP
&SYSTEM
  ibrav = 0, nat = 8, ntyp = 4
/
ATOMIC_SPECIES
Tl 204.38 Tl.upf
S 32.06 S.upf
Au 196.97 Au.upf
Pa 231.04 Pa.upf
CELL_PARAMETERS angstrom
6.629 0.230 0.353
-2.616 6.095 -0.353
-2.616 -2.776 5.438
ATOMIC_POSITIONS crystal
Tl 0.500 0.750 0.250
Tl 0.000 0.000 0.000
S 0.920 0.587 0.140
S 0.447 0.860 0.780
S 0.553 0.333 0.413
S 0.080 0.220 0.667
Au 0.000 0.500 0.500
Pa 0.500 0.250 0.750
! Density = 7.13 g/cm³
! SG = I-4 (82)
! Formation energy without anion corrections = -0.597 eV per atom

***

Record 3
! Tm3FeSi6Ni2 | Alexandria | PBE | optimized geometry; values from VASP
&SYSTEM
  ibrav = 0, nat = 12, ntyp = 4
/
ATOMIC_SPECIES
Si 28.09 Si.upf
Tm 168.93 Tm.upf
Fe 55.84 Fe.upf
Ni 58.69 Ni.upf
CELL_PARAMETERS angstrom
-0.064 -3.761 4.111
-3.486 -0.529 -4.315
5.185 -4.116 -3.684
ATOMIC_POSITIONS crystal
Si 0.813 0.187 0.707
Si 0.187 0.813 0.293
Si 0.813 0.625 0.707
Si 0.187 0.375 0.293
Si 0.375 0.187 0.707
Si 0.625 0.813 0.293
Tm 0.000 0.000 0.000
Tm 0.333 0.667 0.623
Tm 0.667 0.333 0.377
Fe 0.000 0.000 0.500
Ni 0.667 0.333 0.953
Ni 0.333 0.667 0.047
! Density = 6.92 g/cm³
! SG = P-3m1 (164)
! Formation energy without anion corrections = -0.318 eV per atom

***

Record 4
! Sr2GaSb3Rh4 | Alexandria | PBE | optimized geometry; values from VASP
&SYSTEM
  ibrav = 0, nat = 10, ntyp = 4
/
ATOMIC_SPECIES
Sr 87.62 Sr.upf
Ga 69.72 Ga.upf
Rh 102.91 Rh.upf
Sb 121.76 Sb.upf
CELL_PARAMETERS angstrom
4.463 0.000 0.000
0.000 4.463 0.000
0.000 0.000 10.868
ATOMIC_POSITIONS crystal
Sr 0.000 0.500 0.745
Sr 0.500 0.000 0.255
Ga 0.500 0.500 0.500
Rh 0.000 0.000 0.000
Rh 0.000 0.500 0.376
Rh 0.500 0.000 0.624
Rh 0.500 0.500 0.000
Sb 0.000 0.000 0.500
Sb 0.000 0.500 0.134
Sb 0.500 0.000 0.866
! Density = 7.84 g/cm³
! SG = P-4m2 (115)
! Formation energy without anion corrections = -0.719 eV per atom

***

Record 5
! CuNiPd2 | Alexandria | PBE | optimized geometry; values from VASP
&SYSTEM
  ibrav = 0, nat = 8, ntyp = 3
/
ATOMIC_SPECIES
Cu 63.55 Cu.upf
Ni 58.69 Ni.upf
Pd 106.42 Pd.upf
CELL_PARAMETERS angstrom
4.169 0.392 0.684
-0.559 5.158 0.452
-0.559 -2.221 4.677
ATOMIC_POSITIONS crystal
Cu 0.750 0.882 0.118
Cu 0.250 0.118 0.882
Ni 0.250 0.618 0.382
Ni 0.750 0.382 0.618
Pd 0.750 0.879 0.617
Pd 0.250 0.617 0.879
Pd 0.250 0.121 0.383
Pd 0.750 0.383 0.121
! Density = 10.26 g/cm³
! SG = Cmcm (63)
! Formation energy from the elements = -0.7 kJ/mol of atoms